1.
The following is a PBE-GGA calculation of Na3Li2Bi after structural relaxation, from Alexandria.

Structure (POSCAR):
```
Na3Li2Bi
1.0
5.8003 0.0000 0.0000
-2.9001 5.0232 0.0000
0.0000 0.0000 5.6652
Na Li Bi
3 2 1
Direct
0.0000 0.5000 0.0000
0.5000 0.0000 0.0000
0.5000 0.5000 0.0000
0.3333 0.6667 0.5000
0.6667 0.3333 0.5000
0.0000 0.0000 0.5000
```

## Properties
SG: P6/mmm
Magnetic moment in μB/atom: 0.000
ρ in Mg/m³: 2.94
Formation energy from the elements in eV/atom: 0.03

***

2.
The following is a PBE-GGA calculation of Tl2CdGeS4 after structural relaxation, from Alexandria.

Structure (POSCAR):
```
Tl2CdGeS4
1.0
7.8423 0.0000 0.0000
0.0000 9.3980 0.0000
0.0000 0.0000 6.4661
Tl Cd Ge S
4 2 2 8
Direct
0.2280 0.1626 0.0000
0.2720 0.8374 0.5000
0.7280 0.8374 0.5000
0.7720 0.1626 0.0000
0.0000 0.3870 0.4574
0.5000 0.6130 0.9574
0.0000 0.6426 0.9480
0.5000 0.3574 0.4480
0.0000 0.4175 0.0575
0.0000 0.6389 0.5987
0.2325 0.7679 0.0388
0.2675 0.2321 0.5388
0.5000 0.3611 0.0987
0.5000 0.5825 0.5575
0.7325 0.2321 0.5388
0.7675 0.7679 0.0388
```

## Properties
SG: Pmn2_1
Magnetic moment in μB/atom: 0.000
ρ in Mg/m³: 5.03
E_form (uncorrected) in meV per atom: -439